V3InPd: optimized geometry, GGA-PBE.

Cell and atoms, written as extended XYZ:
```
5
Lattice="4.6496 0.0000 0.0000 0.0000 4.6496 0.0000 0.0000 0.0000 4.6496" Properties=species:S:1:pos:R:3 pbc="T T T"
V 0.0000 0.0000 2.3248
V 0.0000 2.3248 0.0000
V 2.3248 0.0000 0.0000
In 2.3248 2.3248 2.3248
Pd 0.0000 0.0000 0.0000
```

Space-group type = Pm-3m, No. 221
Fermi-level density of states = 7.27 states/eV/f.u.
Energy of formation = 5.3 eV per formula unit



YPuOs: optimized geometry, GGA-PBE.

Cell and atoms, written as extended XYZ:
```
6
Lattice="3.7687 0.0270 0.4421 0.0397 5.9393 -0.5205 1.1191 -2.3940 6.7980" Properties=species:S:1:pos:R:3 pbc="T T T"
Y 3.8727 3.2676 3.9085
Y 1.8665 0.3612 4.8128
Os 4.0028 0.1863 2.8977
Os 1.7363 3.4429 5.8236
Pu 2.2914 4.4740 0.8281
Pu 2.3286 1.5491 1.0952
```

Space-group type = C2/m, No. 12
Fermi-level density of states = 5.23 states/eV/f.u.
Energy of formation = -0.2 eV per formula unit



TbCe2DyTl4: optimized geometry, GGA-PBE.

Cell and atoms, written as extended XYZ:
```
8
Lattice="5.4472 0.0000 0.0000 2.7236 4.7174 0.0000 2.7236 1.5725 8.9049" Properties=species:S:1:pos:R:3 pbc="T T T"
Tb 0.0000 0.0000 0.0000
Tl 8.1708 4.7174 3.3435
Tl 5.4472 3.1449 1.1171
Tl 5.4472 3.1449 7.7878
Tl 2.7236 1.5725 5.5615
Ce 8.1708 4.7174 6.6764
Ce 2.7236 1.5725 2.2285
Dy 5.4472 3.1449 4.4525
```

Space-group type = R-3m, No. 166
Fermi-level density of states = 18.47 states/eV/f.u.
Energy of formation = -2.2 eV per formula unit



AlV: optimized geometry, GGA-PBE.

Cell and atoms, written as extended XYZ:
```
8
Lattice="5.0542 0.0000 0.0000 0.0000 5.0542 0.0000 0.0000 0.0000 5.0542" Properties=species:S:1:pos:R:3 pbc="T T T"
V 2.5271 2.5271 2.5271
V 0.0000 2.5271 0.0000
V 0.0000 0.0000 2.5271
V 2.5271 0.0000 0.0000
Al 2.5271 0.0000 2.5271
Al 0.0000 2.5271 2.5271
Al 0.0000 0.0000 0.0000
Al 2.5271 2.5271 0.0000
```

Space-group type = Fm-3m, No. 225
Fermi-level density of states = 1.44 states/eV/f.u.
Energy of formation = 1.0 eV per formula unit



Cr5Bi6Se16: optimized geometry, GGA-PBE.

Cell and atoms, written as extended XYZ:
```
27
Lattice="9.5976 0.0657 0.0097 -7.5449 5.9324 0.0097 0.3425 1.0009 11.6201" Properties=species:S:1:pos:R:3 pbc="T T T"
Bi -1.4562 4.8056 1.7109
Bi 1.9836 5.7961 9.4202
Bi 3.8112 1.6707 9.7599
Bi 4.0952 2.9057 1.7109
Bi 0.3078 0.8994 1.5056
Bi -1.9884 3.6555 9.7599
Se 1.4688 4.2918 0.9385
Se 1.9961 5.8326 4.3155
Se 1.3085 3.8234 7.0605
Se -2.1559 4.8946 7.0373
Se -2.4074 2.2380 1.0467
Se -5.6155 6.1376 7.1281
Se 3.2738 0.2937 1.0467
Se 8.1985 1.4100 7.1281
Se -4.1726 4.4905 4.2408
Se -0.7723 3.3969 4.2758
Se 6.0490 0.9924 4.2408
Se 4.7027 2.5473 7.0373
Se 4.6735 4.2879 10.3547
Se 2.6917 2.2114 4.2758
Se 0.8037 2.3485 10.2442
Se -1.0663 6.2522 10.3547
Cr 4.0294 0.5770 5.6351
Cr 0.6142 1.7948 5.6960
Cr 3.3665 4.2002 5.6776
Cr -2.8310 2.9249 5.6351
Cr -0.0871 5.3821 5.6776
```

Raw formation energy = -0.402 eV/atom
Space-group type = Cm, No. 8
Fermi-level density of states = 10.34 states/eV/f.u.



Ce6PuTl5: optimized geometry, GGA-PBE.

Cell and atoms, written as extended XYZ:
```
12
Lattice="4.7160 0.3871 -1.3855 -1.8088 8.2255 -3.8567 0.1412 -0.9745 8.9792" Properties=species:S:1:pos:R:3 pbc="T T T"
Ce 1.1342 5.4270 5.3757
Ce 0.0805 3.1097 1.1422
Ce 3.8907 0.3346 4.5611
Ce -0.8424 7.3035 -0.8241
Ce 1.9142 2.2111 -1.6386
Ce 2.9679 4.5284 2.5949
Tl 2.8903 1.3058 1.4297
Tl 1.0625 2.2199 4.2362
Tl 0.1581 6.3323 2.3074
Tl 1.9858 5.4182 -0.4991
Tl -0.9044 4.1128 -1.9283
Pu 0.0000 0.0000 0.0000
```

Space-group type = Immm, No. 71
Fermi-level density of states = 32.13 states/eV/f.u.
Energy of formation = -2.1 eV per formula unit



Number 1: magnetic moment 0.495 μB per atom, mass density 6.2 g/cm3, calculated total energy -5.990 eV per atom. Number 2: magnetic moment 1.767 μB per atom, mass density 12.0 g/cm3, calculated total energy -10.735 eV per atom. Number 3: magnetic moment 0.268 μB per atom, mass density 10.3 g/cm3, calculated total energy -4.101 eV per atom. Number 4: magnetic moment 0.000 μB per atom, mass density 4.0 g/cm3, calculated total energy -5.950 eV per atom. Number 5: magnetic moment 0.546 μB per atom, mass density 6.9 g/cm3, calculated total energy -5.111 eV per atom. Number 6: magnetic moment 1.025 μB per atom, mass density 10.4 g/cm3, calculated total energy -5.326 eV per atom.